The following is a PBE with a Hubbard U calculation of a relaxed structure of SrSnWF2, from the Alexandria database.

Properties
uncorrected energy = -4.533 eV/atom
V = 160.42 Å³/f.u.
SG = P4/mmm (123)

Cell lengths 4.473, 4.473, 8.017 Å; angles 90.00, 90.00, 90.00 degrees
Atoms (fractional coordinates):
Sr (0.000, 0.000, 0.000)
Sn (0.500, 0.500, 0.500)
W (0.000, 0.000, 0.500)
F (0.000, 0.500, 0.000)
F (0.500, 0.000, 0.000)